14
Lattice="-2.343 4.893 6.531 2.343 -4.893 6.531 2.343 4.893 -6.531" Properties=species:S:1:pos:R:3 comment="Pr3Zn3Ag8 GGA-PBE optimized geometry" sg="Immm, No. 71" pbc="T T T"
Pr 0.000 0.000 0.000
Pr 0.000 0.000 3.916
Pr 0.000 0.000 9.146
Zn 2.343 3.050 0.000
Zn 0.000 4.893 0.000
Zn 0.000 1.843 6.531
Ag 2.343 -1.384 2.119
Ag 2.343 -2.069 4.931
Ag 2.343 1.384 2.119
Ag 0.000 2.824 1.600
Ag 2.343 2.069 4.931
Ag 0.000 3.509 4.412
Ag 0.000 6.963 1.600
Ag 0.000 6.278 4.412

10
Lattice="6.453 0.000 0.000 -3.226 5.588 0.000 0.000 0.000 5.638" Properties=species:S:1:pos:R:3 comment="PrZn3Ag GGA-PBE optimized geometry" sg="P6_3/mmc, No. 194" relative_energy_mev_per_atom=34 pbc="T T T"
Pr 0.000 3.726 1.409
Pr 3.226 1.863 4.228
Zn 0.000 2.221 4.228
Zn -1.303 4.478 4.228
Zn 1.923 1.111 1.409
Zn 1.303 4.478 4.228
Zn 4.529 1.111 1.409
Zn 3.226 3.367 1.409
Ag 0.000 0.000 0.000
Ag 0.000 0.000 2.819

Number 1: calculated total energy -3.141 eV per atom, ΔE_f -214 meV per atom, density of states at the Fermi level 0.5802 states/eV per atom. Number 2: calculated total energy -2.509 eV per atom, ΔE_f -219 meV per atom, density of states at the Fermi level 0.4493 states/eV per atom.